Below is PrCdAs after structural relaxation, with properties calculated at the GGA-PBE level.

Calculated volume in A^3/atom: 30.24
Excess energy over the best structure of this formula in the dataset in meV per atom: 0

a b c (Å): 7.1324 7.1324 7.1324
angles (deg): 90.00 90.00 90.00
Space group F-43m (No. 216)
Unique sites:
Pr 0.0000 0.0000 0.0000 [4 per cell]
Cd 0.2500 0.2500 0.2500 [4 per cell]
As 0.2500 0.2500 0.7500 [4 per cell]